The following is a PBEsol calculation of a relaxed Ba2SeCl crystal, from the Alexandria database.

* E above lowest polymorph: 0.330 eV/atom
* final energy: -4.179 eV per atom
* formation energy (no corrections): -1.640 eV per atom
* M_tot: 0.75 μB/cell

Structure (POSCAR):
```
Ba2SeCl
1.0
-2.237 2.237 7.033
2.237 -2.237 7.033
2.237 2.237 -7.033
Ba Se Cl
2 1 1
Cartesian
0.000 0.000 0.000
0.000 2.237 3.517
2.237 0.000 3.517
0.000 0.000 7.033
```

***

The following is a PBEsol calculation of a relaxed Ba2SeCl crystal, from the Alexandria database.

* E above lowest polymorph: 0.145 eV/atom
* final energy: -4.364 eV per atom
* formation energy (no corrections): -1.825 eV per atom
* M_tot: 0.00 μB/cell

Structure (POSCAR):
```
Ba2SeCl
1.0
4.850 0.000 0.000
0.000 2.103 6.224
0.000 -2.103 6.224
Ba Se Cl
2 1 1
Cartesian
0.000 0.000 0.000
2.425 0.000 3.241
0.000 0.000 9.137
2.425 0.000 6.298
```

***

The following is a PBEsol calculation of a relaxed BaSe2Cl2 crystal, from the Alexandria database.

* final energy: -4.044 eV per atom
* formation energy (no corrections): -1.271 eV per atom
* M_tot: 0.00 μB/cell

Structure (POSCAR):
```
BaSe2Cl2
1.0
-1.879 1.879 10.725
1.879 -1.879 10.725
1.879 1.879 -10.725
Ba Se Cl
1 2 2
Cartesian
0.000 0.000 0.000
1.879 0.000 5.363
0.000 1.879 5.363
0.000 0.000 9.070
0.000 0.000 12.381
```

***

The following is a PBEsol calculation of a relaxed BaSiCl2 crystal, from the Alexandria database.

* E above lowest polymorph: 0.000 eV/atom
* final energy: -3.983 eV per atom
* formation energy (no corrections): -1.005 eV per atom
* M_tot: 0.00 μB/cell

Structure (POSCAR):
```
BaSiCl2
1.0
4.806 -1.996 0.000
4.806 1.996 0.000
-0.214 0.000 5.681
Ba Si Cl
1 1 2
Cartesian
0.000 0.000 0.000
4.700 0.000 2.841
2.653 0.000 4.259
6.746 0.000 1.422
```

***

The following is a PBEsol calculation of a relaxed BaSiCl2 crystal, from the Alexandria database.

* E above lowest polymorph: 0.170 eV/atom
* final energy: -3.813 eV per atom
* formation energy (no corrections): -0.835 eV per atom
* M_tot: 1.06 μB/cell

Structure (POSCAR):
```
BaSiCl2
1.0
3.935 0.000 0.000
0.000 5.013 0.000
0.000 0.000 5.931
Ba Si Cl
1 1 2
Cartesian
0.000 0.000 0.000
1.967 2.506 4.633
0.000 0.000 2.949
1.967 2.506 1.028
```

***

The following is a PBEsol calculation of a relaxed BaSn3Cl crystal, from the Alexandria database.

* final energy: -2.435 eV per atom
* formation energy (no corrections): 0.952 eV per atom
* M_tot: 0.00 μB/cell

Structure (POSCAR):
```
BaSn3Cl
1.0
6.163 0.000 0.000
0.000 6.163 0.000
0.000 0.000 6.163
Ba Sn Cl
1 3 1
Cartesian
0.000 0.000 0.000
0.000 0.000 3.081
0.000 3.081 0.000
3.081 0.000 0.000
3.081 3.081 3.081
```

***

The following is a PBEsol calculation of a relaxed BaSrCl2 crystal, from the Alexandria database.

* final energy: -3.780 eV per atom
* formation energy (no corrections): -1.779 eV per atom
* M_tot: 0.00 μB/cell

Structure (POSCAR):
```
BaSrCl2
1.0
4.122 0.000 0.000
0.000 4.122 0.000
0.000 0.000 7.898
Ba Sr Cl
1 1 2
Cartesian
0.000 0.000 0.000
2.061 2.061 4.241
0.000 0.000 3.260
2.061 2.061 1.213
```

***

The following is a PBEsol calculation of a relaxed Ba3SrCl crystal, from the Alexandria database.

* final energy: -2.744 eV per atom
* formation energy (no corrections): -0.685 eV per atom
* M_tot: 0.00 μB/cell

Structure (POSCAR):
```
Ba3SrCl
1.0
6.240 0.000 0.000
0.000 6.240 0.000
0.000 0.000 6.240
Ba Sr Cl
3 1 1
Cartesian
0.000 0.000 3.120
0.000 3.120 0.000
3.120 0.000 0.000
3.120 3.120 3.120
0.000 0.000 0.000
```

***

The following is a PBEsol calculation of a relaxed Ba2SrCl crystal, from the Alexandria database.

* E above lowest polymorph: 0.332 eV/atom
* final energy: -2.461 eV per atom
* formation energy (no corrections): -0.425 eV per atom
* M_tot: 0.00 μB/cell

Structure (POSCAR):
```
Ba2SrCl
1.0
4.271 0.000 0.000
0.000 6.252 0.000
0.000 0.000 6.913
Ba Sr Cl
2 1 1
Cartesian
0.000 0.000 0.000
2.135 0.000 3.456
0.000 3.126 3.456
2.135 3.126 0.000
```

***

The following is a PBEsol calculation of a relaxed Ba2SrCl crystal, from the Alexandria database.

* E above lowest polymorph: 0.329 eV/atom
* final energy: -2.464 eV per atom
* formation energy (no corrections): -0.428 eV per atom
* M_tot: 0.00 μB/cell

Structure (POSCAR):
```
Ba2SrCl
1.0
-2.541 2.541 7.384
2.541 -2.541 7.384
2.541 2.541 -7.384
Ba Sr Cl
2 1 1
Cartesian
0.000 0.000 0.000
0.000 2.541 3.692
2.541 0.000 3.692
0.000 0.000 7.384
```

***

The following is a PBEsol calculation of a relaxed BaSr2Cl crystal, from the Alexandria database.

* E above lowest polymorph: 0.100 eV/atom
* final energy: -2.701 eV per atom
* formation energy (no corrections): -0.741 eV per atom
* M_tot: 0.00 μB/cell

Structure (POSCAR):
```
BaSr2Cl
1.0
-1.983 3.586 6.165
1.983 -3.586 6.165
1.983 3.586 -6.165
Ba Sr Cl
1 2 1
Cartesian
0.000 0.000 0.000
1.983 0.000 3.800
0.000 3.586 2.365
0.000 0.000 6.165
```

***

The following is a PBEsol calculation of a relaxed BaSr2Cl crystal, from the Alexandria database.

* E above lowest polymorph: 0.112 eV/atom
* final energy: -2.690 eV per atom
* formation energy (no corrections): -0.730 eV per atom
* M_tot: 0.00 μB/cell

Structure (POSCAR):
```
BaSr2Cl
1.0
-2.045 3.675 6.181
2.045 -3.675 6.181
2.045 3.675 -6.181
Ba Sr Cl
1 2 1
Cartesian
0.000 0.000 0.000
0.000 0.000 4.645
0.000 3.675 2.255
2.045 0.000 2.452
```

***

Copy entry 9 word for word.
The following is a PBEsol calculation of a relaxed Ba2SrCl crystal, from the Alexandria database.

* E above lowest polymorph: 0.332 eV/atom
* final energy: -2.461 eV per atom
* formation energy (no corrections): -0.425 eV per atom
* M_tot: 0.00 μB/cell

Structure (POSCAR):
```
Ba2SrCl
1.0
4.271 0.000 0.000
0.000 6.252 0.000
0.000 0.000 6.913
Ba Sr Cl
2 1 1
Cartesian
0.000 0.000 0.000
2.135 0.000 3.456
0.000 3.126 3.456
2.135 3.126 0.000
```